Computed, not measured: a geometry-optimized CaHfBC2 structure at the PBE-GGA level of DFT.

Structure (POSCAR):
```
CaHfBC2
1.0
3.856 0.000 0.000
0.000 3.856 0.000
0.000 0.000 3.954
Ca Hf B C
1 1 1 2
direct
0.000 0.000 0.000
0.500 0.500 0.000
0.000 0.000 0.500
0.000 0.500 0.500
0.500 0.000 0.500
```

Summary:
**Calculated total energy**: -27.06 eV for the cell shown
**N(E_F)**: 3.0 states/eV/cell
**Formation energy**: 2.004 eV/atom
**Magnetization**: 0.0000 μB per atom
**Volume**: 11.8 A^3/atom